(1)
Compound: Dy2Th2Co
Source: Alexandria
Functional: PBE-GGA
Structure: relaxed

DFT total energy (eV/atom): -6.185
Total magnetization (μB/f.u.): 0.00
Energy of formation (meV per atom): 45
Symmetry: I4_1/amd, No. 141

Cell: 4.882 4.882 12.124 Å, 101.61 101.61 90.00°
Atoms (fractional coordinates):
Dy1 0.180 0.180 0.361
Dy2 0.820 0.820 0.639
Th1 0.572 0.072 0.145
Co1 0.500 0.500 0.000
Dy3 0.070 0.570 0.139
Th2 0.928 0.428 0.855
Co2 0.750 0.250 0.500
Dy4 0.430 0.930 0.861
Th3 0.678 0.678 0.355
Th4 0.322 0.322 0.645



(2)
Compound: YCdHg3
Source: Alexandria
Functional: PBE-GGA
Structure: relaxed

DFT total energy (eV/atom): -1.386
Total magnetization (μB/f.u.): 0.00
Energy of formation (meV per atom): 271
Relative energy among the computed polymorphs (meV per atom): 548.6
Symmetry: Pm-3m, No. 221

Cell: 5.311 5.311 5.311 Å, 90.00 90.00 90.00°
Atoms (fractional coordinates):
Cd1 0.000 0.000 0.000
Hg1 0.500 0.000 0.000
Hg2 0.000 0.500 0.000
Hg3 0.000 0.000 0.500
Y1 0.500 0.500 0.500



(3)
Compound: Ac5Al2Pb
Source: Alexandria
Functional: PBE-GGA
Structure: relaxed

DFT total energy (eV/atom): -4.275
Total magnetization (μB/f.u.): 0.00
Energy of formation (meV per atom): -308
Symmetry: I4/mcm, No. 140

Cell: 8.605 8.605 9.940 Å, 115.65 115.65 90.00°
Atoms (fractional coordinates):
Al1 0.385 0.885 0.000
Ac1 0.976 0.476 0.292
Ac2 0.024 0.524 0.708
Ac3 0.316 0.816 0.292
Ac4 0.500 0.500 0.000
Ac5 0.816 0.976 0.292
Ac6 0.684 0.184 0.708
Ac7 0.476 0.316 0.292
Ac8 0.524 0.684 0.708
Pb1 0.250 0.250 0.500
Al2 0.115 0.385 0.000
Al3 0.615 0.115 0.000
Ac9 0.000 0.000 0.000
Ac10 0.184 0.024 0.708
Pb2 0.750 0.750 0.500
Al4 0.885 0.615 0.000



(4)
Compound: RuBrF2
Source: Alexandria
Functional: PBE-GGA
Structure: relaxed

DFT total energy (eV/atom): -4.031
Total magnetization (μB/f.u.): 4.85
Relative energy among the computed polymorphs (meV per atom): 664.8
Energy relative to the elements, uncorrected (eV per atom): -0.36
Symmetry: I4_1/amd, No. 141

Cell: 7.595 7.595 7.595 Å, 141.85 141.85 55.06°
Each line ends with the local moment (μB).
Atoms (fractional coordinates):
F1 0.375 0.125 0.250  0.22
Br1 0.500 0.500 0.000  0.40
Ru1 0.750 0.250 0.500  3.61
F2 0.875 0.125 0.250  0.22
Br2 0.250 0.750 0.500  0.40
F3 0.875 0.125 0.750  0.22
F4 0.875 0.625 0.750  0.22
Ru2 0.000 0.000 0.000  3.61



(5)
Compound: Er2HgTe
Source: Alexandria
Functional: PBE-GGA
Structure: relaxed

DFT total energy (eV/atom): -3.895
Total magnetization (μB/f.u.): 0.00
Relative energy among the computed polymorphs (meV per atom): 75.2
Energy relative to the elements, uncorrected (eV per atom): -0.75
Symmetry: R3m, No. 160

Cell: 3.998 3.998 8.533 Å, 76.45 76.45 60.00°
Atoms (fractional coordinates):
Hg1 0.499 0.499 0.502
Er1 0.083 0.083 0.750
Te1 0.668 0.668 0.997
Er2 0.250 0.250 0.251



(6)
Compound: Zn2CrGeMo
Source: Alexandria
Functional: PBE-GGA
Structure: relaxed

DFT total energy (eV/atom): -4.380
Total magnetization (μB/f.u.): 2.21
Energy of formation (meV per atom): 1144
Relative energy among the computed polymorphs (meV per atom): 0.0
Symmetry: P4/mmm, No. 123

Cell: 4.947 4.476 4.947 Å, 90.00 90.00 90.00°
Each line ends with the local moment (μB).
Atoms (fractional coordinates):
Zn1 0.000 0.000 0.500  0.00
Zn2 0.500 0.000 0.000  -0.02
Mo1 0.000 0.000 0.000  -0.68
Cr1 0.000 0.500 0.000  2.55
Ge1 0.500 0.500 0.500  0.03